VASP calculation (PBE-GGA) on an optimized crystal structure of PaAsS4Br.

Volume: 389.0 Å³ per cell
Density of states at the Fermi level: 0.119 states/eV per atom
Uncorrected energy: -74.83 eV/cell
E_form (uncorrected): -0.73 eV per atom
Magnetic moment: 0.000 μB/atom

```
data_PaAsS4Br
_space_group_name_H-M_alt 'P 1'
_space_group_IT_number 1
_cell_length_a 7.2365
_cell_length_b 7.2365
_cell_length_c 8.1044
_cell_angle_alpha 103.55
_cell_angle_beta 103.55
_cell_angle_gamma 73.43
loop_
_space_group_symop_operation_xyz
'x,y,z'
loop_
_atom_site_label
_atom_site_fract_x
_atom_site_fract_y
_atom_site_fract_z
Pa1 0.2223 0.2223 0.1174
Pa2 0.7777 0.7777 0.8826
As1 0.3641 0.3641 0.7136
As2 0.6359 0.6359 0.2864
S1 0.1246 0.4926 0.8951
S2 0.2229 0.2229 0.4592
S3 0.4455 0.4455 0.3064
S4 0.4926 0.1246 0.8951
S5 0.5074 0.8754 0.1049
S6 0.5545 0.5545 0.6936
S7 0.7771 0.7771 0.5408
S8 0.8754 0.5074 0.1049
Br1 0.0197 0.0197 0.8037
Br2 0.9803 0.9803 0.1963
```